Entry 1:
Entry from Alexandria via LeMat-Bulk: a relaxed Er4Al7Ga6 crystal (PBE).

abc: 7.498 7.498 7.498
angles: 109.47 109.47 109.47
Element x y z (fractional)
Al1 0.500 0.750 0.250
Al2 0.500 0.250 0.750
Al3 0.250 0.500 0.750
Al4 0.000 0.000 0.000
Al5 0.750 0.250 0.500
Al6 0.250 0.750 0.500
Al7 0.750 0.500 0.250
Er1 0.000 0.500 0.000
Er2 0.000 0.000 0.500
Er3 0.500 0.000 0.000
Er4 0.500 0.500 0.500
Ga1 0.307 0.000 0.307
Ga2 0.000 0.693 0.693
Ga3 0.693 0.000 0.693
Ga4 0.000 0.307 0.307
Ga5 0.307 0.307 0.000
Ga6 0.693 0.693 0.000

Values from the calculation:
- Energy: -70.0 eV per cell
- Formation enthalpy at 0 K: -0.4329 eV/atom

---

Entry 2:
Entry from Alexandria via LeMat-Bulk: a relaxed HfMoH crystal (PBE).

abc: 2.980 5.073 5.575
angles: 90.00 90.00 107.08
Element x y z (fractional)
Mo1 0.000 0.000 0.500
Mo2 0.000 0.000 0.000
H1 0.477 0.954 0.750
H2 0.523 0.046 0.250
Hf1 0.256 0.511 0.750
Hf2 0.744 0.489 0.250

Values from the calculation:
- Energy: -47.6 eV per cell

---

Entry 3:
Entry from Alexandria via LeMat-Bulk: a relaxed ScCuSe3 crystal (PBE).

abc: 4.771 4.771 4.771
angles: 90.00 90.00 90.00
Element x y z (fractional)
Se1 0.000 0.500 0.000
Se2 0.000 0.000 0.500
Se3 0.500 0.000 0.000
Sc1 0.500 0.500 0.500
Cu1 0.000 0.000 0.000

Values from the calculation:
- Formation energy without anion corrections: -0.19 eV/atom
- Energy: -21.8 eV per cell
- Offset from the most stable computed form: 0.00 eV/f.u.

---

Entry 4:
Entry from Alexandria via LeMat-Bulk: a relaxed Tb3Th2Sc crystal (PBE).

abc: 6.076 7.872 10.546
angles: 77.36 89.80 130.19
Element x y z (fractional)
Th1 0.375 0.752 0.623
Th2 0.870 0.748 0.129
Th3 0.625 0.248 0.377
Th4 0.130 0.252 0.871
Tb1 0.617 0.245 0.042
Tb2 0.875 0.744 0.456
Tb3 0.880 0.751 0.790
Tb4 0.120 0.249 0.210
Tb5 0.383 0.755 0.958
Tb6 0.125 0.256 0.544
Sc1 0.370 0.749 0.293
Sc2 0.630 0.251 0.707

Values from the calculation:
- Energy: -69.4 eV per cell
- Offset from the most stable computed form: 0.12 eV/f.u.
- Formation enthalpy at 0 K: 0.0572 eV/atom

---

Entry 5:
Entry from Alexandria via LeMat-Bulk: a relaxed Ir3AuCl crystal (PBE).

abc: 4.968 4.968 4.968
angles: 90.00 90.00 90.00
Element x y z (fractional)
Cl1 0.500 0.500 0.500
Ir1 0.000 0.000 0.500
Ir2 0.500 0.000 0.000
Ir3 0.000 0.500 0.000
Au1 0.000 0.000 0.000

Values from the calculation:
- Formation energy without anion corrections: 2.46 eV/atom
- Energy: -19.4 eV per cell
- Offset from the most stable computed form: 4.68 eV/f.u.

---

Entry 6:
Entry from Alexandria via LeMat-Bulk: a relaxed LiNp2MoN4 crystal (PBE).

abc: 3.338 5.842 5.290
angles: 111.66 90.00 90.00
Element x y z (fractional)
Np1 0.000 0.500 0.500
Np2 0.500 0.000 0.500
N1 0.500 0.734 0.743
N2 0.000 0.256 0.759
N3 0.500 0.266 0.257
N4 0.000 0.744 0.241
Li1 0.000 0.000 0.000
Mo1 0.500 0.500 0.000

Values from the calculation:
- Formation energy without anion corrections: -0.85 eV/atom
- Energy: -78.8 eV per cell

---

- energy of number 1 (Er4Al7Ga6)?
  -70.0 eV per cell

---

- Which of these has the highest energy?
  Ir3AuCl